[1]
Here is crystalline PaNiAg at its relaxed geometry from OQMD via LeMat-Bulk. Energies are from PBE-GGA.

Geometry as POSCAR:
```
PaNiAg
1.0
0.000 3.274 3.274
3.274 0.000 3.274
3.274 3.274 0.000
Pa Ni Ag
1 1 1
direct
0.000 0.000 0.000
0.250 0.250 0.250
0.750 0.750 0.750
```

* magnetization: 0.2 μB/cell
* energy of formation from the pure elements: 0.70 eV per atom
* energy above the lowest structure with this stoichiometry: 581 meV/atom

[2]
Here is crystalline ZrSO5 at its relaxed geometry from OQMD via LeMat-Bulk. Energies are from PBE-GGA.

Geometry as POSCAR:
```
ZrSO5
1.0
2.620 -7.189 0.000
2.620 7.189 0.000
-0.612 0.000 9.768
Zr S O
4 4 20
direct
0.000 0.500 0.000
0.083 0.917 0.750
0.500 0.000 0.500
0.917 0.083 0.250
0.161 0.373 0.577
0.373 0.161 0.077
0.627 0.839 0.923
0.839 0.627 0.423
0.056 0.394 0.165
0.103 0.737 0.407
0.167 0.293 0.439
0.201 0.273 0.682
0.263 0.897 0.093
0.273 0.201 0.182
0.293 0.167 0.939
0.328 0.620 0.906
0.380 0.672 0.594
0.394 0.056 0.665
0.606 0.944 0.335
0.620 0.328 0.406
0.672 0.380 0.094
0.707 0.833 0.061
0.727 0.799 0.818
0.737 0.103 0.907
0.799 0.727 0.318
0.833 0.707 0.561
0.897 0.263 0.593
0.944 0.606 0.835
```

* magnetization: 0.0 μB/cell
* electronic total energy: -0.552 Ry/atom

[3]
Here is crystalline CsLa2Cu3S5 at its relaxed geometry from OQMD via LeMat-Bulk. Energies are from PBE-GGA.

Geometry as POSCAR:
```
CsLa2Cu3S5
1.0
2.044 -7.137 0.000
2.044 7.137 0.000
0.000 0.000 17.629
Cs La Cu S
2 4 6 10
direct
0.063 0.937 0.750
0.937 0.063 0.250
0.191 0.809 0.091
0.191 0.809 0.409
0.809 0.191 0.591
0.809 0.191 0.909
0.337 0.663 0.750
0.416 0.584 0.035
0.416 0.584 0.465
0.584 0.416 0.535
0.584 0.416 0.965
0.663 0.337 0.250
0.163 0.837 0.569
0.163 0.837 0.931
0.226 0.774 0.250
0.443 0.557 0.605
0.443 0.557 0.895
0.557 0.443 0.105
0.557 0.443 0.395
0.774 0.226 0.750
0.837 0.163 0.069
0.837 0.163 0.431
```

* magnetization: 0.0 μB/cell
* electronic total energy: -0.376 Ry/atom